Pr5Nd4Tl2, optimized geometry, DFT PBE-GGA; N(E_F) = 1.3578 states/eV per atom; ΔH_f (0 K) = -34 meV per atom; space group = No. 10; total magnetic moment = 0.00 μB/atom
1.0
3.6400 0.0000 0.0000
0.0000 8.8726 -0.0805
0.0000 -0.9565 11.5553
Pr Nd Tl
5 4 2
direct
0.0000 0.5532 0.3030 Pr
0.0000 0.1960 0.1641 Pr
0.0000 0.5000 0.0000 Pr
0.0000 0.8040 0.8359 Pr
0.0000 0.4468 0.6970 Pr
0.5000 0.7435 0.5484 Nd
0.5000 0.1557 0.8771 Nd
0.5000 0.2565 0.4516 Nd
0.5000 0.8443 0.1229 Nd
0.0000 0.0648 0.6385 Tl
0.0000 0.9352 0.3615 Tl